No. 1
## BaSr2Si (PBE)

Data for a relaxed BaSr2Si crystal.

Properties
ρ: 3.8 Mg/m³
E_form (uncorrected): -0.02 eV per atom
Fermi-level density of states: 2.529 states/eV per cell
SG: P4/mmm

a = 5.268 Å, b = 5.268 Å, c = 5.317 Å
α = 90.00°, β = 90.00°, γ = 90.00°
Fractional coordinates of all 4 atoms:
Ba: 0.000 0.000 0.000
Sr: 0.000 0.500 0.500
Sr: 0.500 0.000 0.500
Si: 0.500 0.500 0.000



No. 2
## CoTcBr2 (PBE)

Data for a relaxed CoTcBr2 crystal.

Properties
ρ: 8.0 Mg/m³
E_form (uncorrected): 0.94 eV per atom
Fermi-level density of states: 2.751 states/eV per cell
SG: Fm-3m
relative energy among the computed polymorphs: 303 kJ/mol of formula units

a = 4.522 Å, b = 4.522 Å, c = 4.522 Å
α = 60.00°, β = 60.00°, γ = 60.00°
Fractional coordinates of all 4 atoms:
Co: 0.000 0.000 0.000
Tc: 0.500 0.500 0.500
Br: 0.250 0.250 0.250
Br: 0.750 0.750 0.750



No. 3
## Ce2Cd15Ag2 (PBE)

Data for a relaxed Ce2Cd15Ag2 crystal.

Properties
ρ: 8.4 Mg/m³
Fermi-level density of states: 21.224 states/eV per cell
SG: R-3m
ΔE_f: -105 meV per atom

a = 7.636 Å, b = 7.636 Å, c = 7.636 Å
α = 82.13°, β = 82.13°, γ = 82.13°
Fractional coordinates of all 19 atoms:
Ce: 0.166 0.166 0.166
Ce: 0.834 0.834 0.834
Cd: 0.000 0.500 0.500
Cd: 0.142 0.142 0.657
Cd: 0.142 0.657 0.142
Cd: 0.205 0.500 0.795
Cd: 0.205 0.795 0.500
Cd: 0.343 0.858 0.858
Cd: 0.500 0.000 0.500
Cd: 0.500 0.205 0.795
Cd: 0.500 0.500 0.000
Cd: 0.500 0.795 0.205
Cd: 0.657 0.142 0.142
Cd: 0.795 0.205 0.500
Cd: 0.795 0.500 0.205
Cd: 0.858 0.343 0.858
Cd: 0.858 0.858 0.343
Ag: 0.396 0.396 0.396
Ag: 0.604 0.604 0.604



No. 4
## Th4Zn5Co2 (PBE)

Data for a relaxed Th4Zn5Co2 crystal.

Properties
ρ: 9.5 Mg/m³
Fermi-level density of states: 9.442 states/eV per cell
SG: P2/m
ΔE_f: -230 meV per atom

a = 7.154 Å, b = 3.738 Å, c = 9.003 Å
α = 90.00°, β = 94.12°, γ = 90.00°
Fractional coordinates of all 11 atoms:
Th: 0.169 0.000 0.355
Th: 0.234 0.000 0.944
Th: 0.766 0.000 0.056
Th: 0.831 0.000 0.645
Zn: 0.197 0.500 0.654
Zn: 0.451 0.500 0.194
Zn: 0.500 0.500 0.500
Zn: 0.549 0.500 0.806
Zn: 0.803 0.500 0.346
Co: 0.079 0.500 0.142
Co: 0.921 0.500 0.858



No. 5
## KPd3Se3 (PBE)

Data for a relaxed KPd3Se3 crystal.

Properties
ρ: 5.7 Mg/m³
E_form (uncorrected): -0.40 eV per atom
Fermi-level density of states: 7.266 states/eV per cell
SG: R-3
relative energy among the computed polymorphs: 0 kJ/mol of formula units

a = 9.214 Å, b = 9.214 Å, c = 9.214 Å
α = 44.45°, β = 44.45°, γ = 44.45°
Fractional coordinates of all 14 atoms:
K: 0.167 0.167 0.167
K: 0.833 0.833 0.833
Pd: 0.029 0.369 0.704
Pd: 0.296 0.971 0.631
Pd: 0.369 0.704 0.029
Pd: 0.631 0.296 0.971
Pd: 0.704 0.029 0.369
Pd: 0.971 0.631 0.296
Se: 0.078 0.735 0.404
Se: 0.265 0.596 0.922
Se: 0.404 0.078 0.735
Se: 0.596 0.922 0.265
Se: 0.735 0.404 0.078
Se: 0.922 0.265 0.596



No. 6
## Mn6Ni16As7 (PBE)

Data for a relaxed Mn6Ni16As7 crystal.

Properties
ρ: 8.2 Mg/m³
Fermi-level density of states: 18.357 states/eV per cell
SG: Fm-3m
ΔE_f: -215 meV per atom

a = 8.024 Å, b = 8.024 Å, c = 8.024 Å
α = 60.00°, β = 60.00°, γ = 60.00°
Fractional coordinates of all 29 atoms:
Mn: 0.188 0.188 0.812
Mn: 0.188 0.812 0.188
Mn: 0.188 0.812 0.812
Mn: 0.812 0.188 0.188
Mn: 0.812 0.188 0.812
Mn: 0.812 0.812 0.188
Ni: 0.147 0.618 0.618
Ni: 0.164 0.164 0.164
Ni: 0.164 0.164 0.508
Ni: 0.164 0.508 0.164
Ni: 0.382 0.382 0.382
Ni: 0.382 0.382 0.853
Ni: 0.382 0.853 0.382
Ni: 0.492 0.836 0.836
Ni: 0.508 0.164 0.164
Ni: 0.618 0.147 0.618
Ni: 0.618 0.618 0.147
Ni: 0.618 0.618 0.618
Ni: 0.836 0.492 0.836
Ni: 0.836 0.836 0.492
Ni: 0.836 0.836 0.836
Ni: 0.853 0.382 0.382
As: 0.000 0.000 0.500
As: 0.000 0.500 0.000
As: 0.000 0.500 0.500
As: 0.500 0.000 0.000
As: 0.500 0.000 0.500
As: 0.500 0.500 0.000
As: 0.500 0.500 0.500



No. 7
## PrScNi2 (PBE)

Data for a relaxed PrScNi2 crystal.

Properties
ρ: 6.8 Mg/m³
Fermi-level density of states: 3.840 states/eV per cell
SG: P4/mmm
ΔE_f: -313 meV per atom
relative energy among the computed polymorphs: 3 kJ/mol of formula units

a = 3.297 Å, b = 3.297 Å, c = 6.859 Å
α = 90.00°, β = 90.00°, γ = 90.00°
Fractional coordinates of all 4 atoms:
Pr: 0.000 0.000 0.000
Sc: 0.000 0.000 0.500
Ni: 0.500 0.500 0.295
Ni: 0.500 0.500 0.705



No. 8
## Ba2CrBr (PBE)

Data for a relaxed Ba2CrBr crystal.

Properties
ρ: 4.4 Mg/m³
E_form (uncorrected): -0.15 eV per atom
Fermi-level density of states: 5.548 states/eV per cell
SG: Fm-3m
relative energy among the computed polymorphs: 63 kJ/mol of formula units

a = 6.017 Å, b = 6.017 Å, c = 6.017 Å
α = 60.00°, β = 60.00°, γ = 60.00°
Fractional coordinates of all 4 atoms:
Ba: 0.250 0.250 0.250
Ba: 0.750 0.750 0.750
Cr: 0.000 0.000 0.000
Br: 0.500 0.500 0.500



No. 9
## SiAu2Cl (PBE)

Data for a relaxed SiAu2Cl crystal.

Properties
ρ: 9.9 Mg/m³
E_form (uncorrected): -0.08 eV per atom
Fermi-level density of states: 1.883 states/eV per cell
SG: R-3m
relative energy among the computed polymorphs: 0 kJ/mol of formula units

a = 7.568 Å, b = 7.568 Å, c = 7.568 Å
α = 26.68°, β = 26.68°, γ = 26.68°
Fractional coordinates of all 4 atoms:
Si: 0.000 0.000 0.000
Au: 0.263 0.263 0.263
Au: 0.737 0.737 0.737
Cl: 0.500 0.500 0.500



No. 10
## TiSO5 (PBE)

Data for a relaxed TiSO5 crystal.

Properties
ρ: 3.0 Mg/m³
E_form (uncorrected): -2.03 eV per atom
Fermi-level density of states: 0.000 states/eV per cell
SG: C2/c
relative energy among the computed polymorphs: 6 kJ/mol of formula units

a = 7.463 Å, b = 7.463 Å, c = 9.643 Å
α = 90.39°, β = 90.39°, γ = 139.09°
Fractional coordinates of all 28 atoms:
Ti: 0.000 0.500 0.500
Ti: 0.089 0.911 0.750
Ti: 0.500 0.000 0.000
Ti: 0.911 0.089 0.250
S: 0.136 0.353 0.937
S: 0.353 0.136 0.437
S: 0.647 0.864 0.563
S: 0.864 0.647 0.063
O: 0.027 0.370 0.344
O: 0.141 0.776 0.090
O: 0.155 0.300 0.082
O: 0.188 0.249 0.837
O: 0.224 0.859 0.410
O: 0.249 0.188 0.337
O: 0.300 0.155 0.582
O: 0.344 0.652 0.918
O: 0.348 0.656 0.582
O: 0.370 0.027 0.844
O: 0.630 0.973 0.156
O: 0.652 0.344 0.418
O: 0.656 0.348 0.082
O: 0.700 0.845 0.418
O: 0.751 0.812 0.663
O: 0.776 0.141 0.590
O: 0.812 0.751 0.163
O: 0.845 0.700 0.918
O: 0.859 0.224 0.910
O: 0.973 0.630 0.656



No. 11
## NbHPd2Pt (PBE)

Data for a relaxed NbHPd2Pt crystal.

Properties
ρ: 12.6 Mg/m³
Fermi-level density of states: 4.064 states/eV per cell
energy: -6.197 eV per atom
SG: P4/mmm

a = 3.974 Å, b = 3.974 Å, c = 4.194 Å
α = 90.00°, β = 90.00°, γ = 90.00°
Fractional coordinates of all 5 atoms:
Nb: 0.000 0.000 0.000
H: 0.000 0.000 0.500
Pd: 0.000 0.500 0.500
Pd: 0.500 0.000 0.500
Pt: 0.500 0.500 0.000



No. 12
## Rb3SrP (PBE)

Data for a relaxed Rb3SrP crystal.

Properties
ρ: 1.4 Mg/m³
Fermi-level density of states: 3.350 states/eV per cell
SG: Pm-3m
ΔE_f: 997 meV per atom
relative energy among the computed polymorphs: 419 kJ/mol of formula units

a = 7.567 Å, b = 7.567 Å, c = 7.567 Å
α = 90.00°, β = 90.00°, γ = 90.00°
Fractional coordinates of all 5 atoms:
Rb: 0.000 0.000 0.500
Rb: 0.000 0.500 0.000
Rb: 0.500 0.000 0.000
Sr: 0.000 0.000 0.000
P: 0.500 0.500 0.500